Entry 1:
A relaxed structure of Ho2Tm5Ga5. Source: Alexandria via LeMat-Bulk, functional PBE-GGA.

a = 6.147 Å, b = 6.147 Å, c = 12.303 Å
α = 107.73°, β = 107.73°, γ = 43.34°
Element x y z (fractional)
Ho: 0.046 0.046 0.275
Ho: 0.954 0.954 0.725
Tm: 0.305 0.305 0.187
Tm: 0.344 0.344 0.476
Tm: 0.500 0.500 0.000
Tm: 0.656 0.656 0.524
Tm: 0.695 0.695 0.813
Ga: 0.000 0.000 0.500
Ga: 0.153 0.153 0.953
Ga: 0.266 0.266 0.694
Ga: 0.734 0.734 0.306
Ga: 0.847 0.847 0.047

Results
size of the total moment = 0.00 μB per formula unit
formation enthalpy at 0 K = -400.8 meV/atom
DOS at the Fermi energy = 9.65 states/eV per cell
theoretical density = 8.39 g/cm³
calculated total energy = -4.29 eV/atom

Entry 2:
A relaxed structure of Pa3Tl4PdSe8. Source: Alexandria via LeMat-Bulk, functional PBE-GGA.

a = 8.191 Å, b = 8.191 Å, c = 9.250 Å
α = 116.31°, β = 116.31°, γ = 59.93°
Element x y z (fractional)
Pa: 0.000 0.000 0.000
Pa: 0.000 0.500 0.000
Pa: 0.500 0.000 0.000
Tl: 0.000 0.000 0.500
Tl: 0.000 0.500 0.500
Tl: 0.500 0.000 0.500
Tl: 0.500 0.500 0.500
Pd: 0.500 0.500 0.000
Se: 0.233 0.734 0.201
Se: 0.236 0.236 0.209
Se: 0.265 0.265 0.798
Se: 0.266 0.767 0.799
Se: 0.734 0.233 0.201
Se: 0.735 0.735 0.202
Se: 0.764 0.764 0.791
Se: 0.767 0.266 0.799

Results
size of the total moment = 3.05 μB per formula unit
DOS at the Fermi energy = 15.21 states/eV per cell
theoretical density = 8.09 g/cm³
calculated total energy = -5.31 eV/atom

Entry 3:
A relaxed structure of NiAgPb2. Source: Alexandria via LeMat-Bulk, functional PBE-GGA.

a = 6.894 Å, b = 6.894 Å, c = 4.408 Å
α = 108.40°, β = 108.40°, γ = 27.07°
Element x y z (fractional)
Ni: 0.000 0.000 0.000
Ag: 0.684 0.684 0.184
Pb: 0.309 0.309 0.809
Pb: 0.520 0.520 0.520

Results
size of the total moment = 0.00 μB per formula unit
formation enthalpy at 0 K = 185.1 meV/atom
DOS at the Fermi energy = 1.73 states/eV per cell
theoretical density = 10.70 g/cm³
calculated total energy = -3.83 eV/atom
energy above the most stable polymorph in this dataset = 1.0 kJ/mol of atoms

Entry 4:
A relaxed structure of CsZnCu2. Source: Alexandria via LeMat-Bulk, functional PBE-GGA.

a = 9.185 Å, b = 9.185 Å, c = 9.185 Å
α = 147.25°, β = 147.25°, γ = 46.99°
Element x y z (fractional)
Cs: 0.375 0.625 0.750
Cs: 0.625 0.375 0.250
Zn: 0.125 0.875 0.250
Zn: 0.875 0.125 0.750
Cu: 0.000 0.000 0.000
Cu: 0.000 0.000 0.500
Cu: 0.000 0.500 0.000
Cu: 0.500 0.000 0.500

Results
size of the total moment = 0.00 μB per formula unit
formation enthalpy at 0 K = 312.4 meV/atom
DOS at the Fermi energy = 4.93 states/eV per cell
theoretical density = 4.78 g/cm³
calculated total energy = -2.27 eV/atom

Entry 5:
A relaxed structure of ZnAg2Au8. Source: Alexandria via LeMat-Bulk, functional PBE-GGA.

a = 6.894 Å, b = 6.894 Å, c = 5.038 Å
α = 104.72°, β = 104.72°, γ = 83.15°
Element x y z (fractional)
Zn: 0.000 0.000 0.000
Ag: 0.143 0.143 0.523
Ag: 0.857 0.857 0.477
Au: 0.157 0.680 0.190
Au: 0.271 0.271 0.105
Au: 0.320 0.843 0.810
Au: 0.427 0.427 0.702
Au: 0.573 0.573 0.298
Au: 0.680 0.157 0.190
Au: 0.729 0.729 0.895
Au: 0.843 0.320 0.810

Results
size of the total moment = 0.00 μB per formula unit
formation enthalpy at 0 K = 106.9 meV/atom
DOS at the Fermi energy = 2.98 states/eV per cell
theoretical density = 13.79 g/cm³
calculated total energy = -2.91 eV/atom
energy above the most stable polymorph in this dataset = 16.3 kJ/mol of atoms

Entry 6:
A relaxed structure of Y5Mg4Sc. Source: Alexandria via LeMat-Bulk, functional PBE-GGA.

a = 3.727 Å, b = 3.727 Å, c = 19.969 Å
α = 90.00°, β = 90.00°, γ = 90.00°
Element x y z (fractional)
Y: 0.000 0.000 0.000
Y: 0.000 0.000 0.195
Y: 0.000 0.000 0.395
Y: 0.000 0.000 0.605
Y: 0.000 0.000 0.805
Mg: 0.500 0.500 0.098
Mg: 0.500 0.500 0.294
Mg: 0.500 0.500 0.706
Mg: 0.500 0.500 0.902
Sc: 0.500 0.500 0.500

Results
size of the total moment = 0.00 μB per formula unit
formation enthalpy at 0 K = -69.8 meV/atom
DOS at the Fermi energy = 15.69 states/eV per cell
theoretical density = 3.51 g/cm³
calculated total energy = -4.57 eV/atom